[1]
# Hf2Np2S7, optimized geometry, DFT PBE-GGA
# Uncorrected formation energy   -127.7 kJ per mole of atoms
# Total magnetic moment   8.01 μB per formula unit
# Density of states at the Fermi level   18.38 states/eV/f.u.
# Total DFT energy (no corrections)   -178.49 eV for the cell shown
data_Hf2Np2S7
_chemical_formula_sum 'Hf4 Np4 S14'
_cell_length_a 7.921
_cell_length_b 11.790
_cell_length_c 6.797
_cell_angle_alpha 90.00
_cell_angle_beta 97.04
_cell_angle_gamma 90.00
_symmetry_space_group_name_H-M 'C 1 2/m 1'
_symmetry_Int_Tables_number 12
_symmetry_space_group_name_Hall '-C 2y'
loop_
_atom_site_label
_atom_site_fract_x
_atom_site_fract_y
_atom_site_fract_z
Hf1 0.227 0.000 0.113
Np1 0.000 0.180 0.500
S1 0.000 0.500 0.000
S2 0.079 0.000 0.765
S3 0.226 0.321 0.712

[2]
# Dy3Tl3HgTe8, optimized geometry, DFT PBE-GGA
# Uncorrected formation energy   -73.0 kJ per mole of atoms
# Total magnetic moment   0.00 μB per formula unit
# Density of states at the Fermi level   6.47 states/eV/f.u.
# Total DFT energy (no corrections)   -115.37 eV for the cell shown
data_Dy3Tl3HgTe8
_chemical_formula_sum 'Dy6 Tl6 Hg2 Te16'
_cell_length_a 15.072
_cell_length_b 8.792
_cell_length_c 9.612
_cell_angle_alpha 90.00
_cell_angle_beta 121.37
_cell_angle_gamma 90.00
_symmetry_space_group_name_H-M 'C 1 2/m 1'
_symmetry_Int_Tables_number 12
_symmetry_space_group_name_Hall '-C 2y'
loop_
_atom_site_label
_atom_site_fract_x
_atom_site_fract_y
_atom_site_fract_z
Dy1 0.000 0.000 0.000
Dy2 0.250 0.250 0.000
Tl1 0.000 0.500 0.500
Tl2 0.250 0.250 0.500
Hg1 0.000 0.500 0.000
Te1 0.018 0.201 0.756
Te2 0.212 0.500 0.193
Te3 0.240 0.000 0.217

[3]
# Mg2ZrPb, optimized geometry, DFT PBE-GGA
# Formation enthalpy at 0 K   0.20 eV/f.u.
# Total magnetic moment   0.00 μB per formula unit
# Density of states at the Fermi level   2.95 states/eV/f.u.
# Total DFT energy (no corrections)   -30.48 eV for the cell shown
data_Mg2ZrPb
_chemical_formula_sum 'Mg4 Zr2 Pb2'
_cell_length_a 3.489
_cell_length_b 5.384
_cell_length_c 10.427
_cell_angle_alpha 90.00
_cell_angle_beta 90.00
_cell_angle_gamma 90.00
_symmetry_space_group_name_H-M 'C m m m'
_symmetry_Int_Tables_number 65
_symmetry_space_group_name_Hall '-C 2 2'
loop_
_atom_site_label
_atom_site_fract_x
_atom_site_fract_y
_atom_site_fract_z
Mg1 0.000 0.000 0.244
Zr1 0.000 0.500 0.000
Pb1 0.000 0.500 0.500

[4]
# Na2LiP, optimized geometry, DFT PBE-GGA
# Formation enthalpy at 0 K   -0.02 eV/f.u.
# Energy above the lowest structure with this stoichiometry   0.2700 eV per atom
# Total magnetic moment   0.00 μB per formula unit
# Density of states at the Fermi level   0.48 states/eV/f.u.
# Total DFT energy (no corrections)   -39.93 eV for the cell shown
data_Na2LiP
_chemical_formula_sum 'Na8 Li4 P4'
_cell_length_a 4.250
_cell_length_b 4.250
_cell_length_c 19.535
_cell_angle_alpha 90.00
_cell_angle_beta 90.00
_cell_angle_gamma 90.00
_symmetry_space_group_name_H-M 'I -4 2 d'
_symmetry_Int_Tables_number 122
_symmetry_space_group_name_Hall 'I -4 2bw'
loop_
_atom_site_label
_atom_site_fract_x
_atom_site_fract_y
_atom_site_fract_z
Na1 0.225 0.250 0.125
Li1 0.000 0.000 0.500
P1 0.000 0.000 0.000

[5]
# TmMg2Zn, optimized geometry, DFT PBE-GGA
# Formation enthalpy at 0 K   -0.77 eV/f.u.
# Total magnetic moment   0.00 μB per formula unit
# Density of states at the Fermi level   1.45 states/eV/f.u.
# Total DFT energy (no corrections)   -38.83 eV for the cell shown
data_TmMg2Zn
_chemical_formula_sum 'Tm4 Mg8 Zn4'
_cell_length_a 4.718
_cell_length_b 4.718
_cell_length_c 15.863
_cell_angle_alpha 90.00
_cell_angle_beta 90.00
_cell_angle_gamma 90.00
_symmetry_space_group_name_H-M 'I 4/m m m'
_symmetry_Int_Tables_number 139
_symmetry_space_group_name_Hall '-I 4 2'
loop_
_atom_site_label
_atom_site_fract_x
_atom_site_fract_y
_atom_site_fract_z
Tm1 0.000 0.000 0.145
Mg1 0.000 0.000 0.358
Mg2 0.000 0.500 0.000
Zn1 0.000 0.500 0.250

[6]
# Sc2ReHgC, optimized geometry, DFT PBE-GGA
# Formation enthalpy at 0 K   -1.94 eV/f.u.
# Total magnetic moment   0.00 μB per formula unit
# Density of states at the Fermi level   1.48 states/eV/f.u.
# Total DFT energy (no corrections)   -36.57 eV for the cell shown
data_Sc2ReHgC
_chemical_formula_sum 'Sc2 Re1 Hg1 C1'
_cell_length_a 4.597
_cell_length_b 4.597
_cell_length_c 4.001
_cell_angle_alpha 90.00
_cell_angle_beta 90.00
_cell_angle_gamma 90.00
_symmetry_space_group_name_H-M 'P 4/m m m'
_symmetry_Int_Tables_number 123
_symmetry_space_group_name_Hall '-P 4 2'
loop_
_atom_site_label
_atom_site_fract_x
_atom_site_fract_y
_atom_site_fract_z
Sc1 0.000 0.500 0.000
Re1 0.000 0.000 0.500
Hg1 0.500 0.500 0.500
C1 0.000 0.000 0.000

[7]
# Li2Mo3S4, optimized geometry, DFT PBE-GGA
# Uncorrected formation energy   -89.7 kJ per mole of atoms
# Total magnetic moment   0.00 μB per formula unit
# Total DFT energy (no corrections)   -122.40 eV for the cell shown
data_Li2Mo3S4
_chemical_formula_sum 'Li4 Mo6 S8'
_cell_length_a 6.696
_cell_length_b 6.705
_cell_length_c 6.719
_cell_angle_alpha 94.63
_cell_angle_beta 95.41
_cell_angle_gamma 94.24
_symmetry_space_group_name_H-M 'P 1'
_symmetry_Int_Tables_number 1
_symmetry_space_group_name_Hall 'P 1'
loop_
_atom_site_label
_atom_site_fract_x
_atom_site_fract_y
_atom_site_fract_z
Li1 0.000 0.000 0.000
Li2 0.013 0.406 0.390
Li3 0.070 0.493 0.880
Li4 0.582 0.420 0.044
Mo1 0.218 0.985 0.424
Mo2 0.400 0.673 0.558
Mo3 0.440 0.027 0.780
Mo4 0.530 0.852 0.246
Mo5 0.573 0.207 0.470
Mo6 0.753 0.893 0.602
S1 0.118 0.813 0.721
S2 0.199 0.658 0.222
S3 0.273 0.310 0.639
S4 0.356 0.152 0.142
S5 0.614 0.729 0.882
S6 0.699 0.570 0.392
S7 0.775 0.225 0.802
S8 0.852 0.063 0.306

[8]
# K3TbP2O8, optimized geometry, DFT PBE-GGA
# Uncorrected formation energy   -249.0 kJ per mole of atoms
# Total magnetic moment   0.00 μB per formula unit
# Density of states at the Fermi level   0.00 states/eV/f.u.
# Total DFT energy (no corrections)   -94.54 eV for the cell shown
data_K3TbP2O8
_chemical_formula_sum 'K3 Tb1 P2 O8'
_cell_length_a 5.7150
_cell_length_b 5.7150
_cell_length_c 7.8093
_cell_angle_alpha 90.00
_cell_angle_beta 90.00
_cell_angle_gamma 120.00
_symmetry_space_group_name_H-M 'P -3 m 1'
_symmetry_Int_Tables_number 164
_symmetry_space_group_name_Hall '-P 3 2"'
loop_
_atom_site_label
_atom_site_fract_x
_atom_site_fract_y
_atom_site_fract_z
K1 0.0000 0.0000 0.0000
K2 0.3333 0.6667 0.7337
Tb1 0.0000 0.0000 0.5000
P1 0.3333 0.6667 0.2574
O1 0.1852 0.3705 0.3296
O2 0.3333 0.6667 0.0631

[9]
# In6Cl5, optimized geometry, DFT PBE-GGA
# Uncorrected formation energy   -62.5 kJ per mole of atoms
# Total magnetic moment   0.00 μB per formula unit
# Density of states at the Fermi level   2.31 states/eV/f.u.
# Total DFT energy (no corrections)   -65.57 eV for the cell shown
data_In6Cl5
_chemical_formula_sum 'In12 Cl10'
_cell_length_a 7.823
_cell_length_b 13.486
_cell_length_c 6.875
_cell_angle_alpha 90.00
_cell_angle_beta 113.29
_cell_angle_gamma 90.00
_symmetry_space_group_name_H-M 'C 1 2/m 1'
_symmetry_Int_Tables_number 12
_symmetry_space_group_name_Hall '-C 2y'
loop_
_atom_site_label
_atom_site_fract_x
_atom_site_fract_y
_atom_site_fract_z
In1 0.210 0.144 0.220
In2 0.213 0.000 0.721
Cl1 0.000 0.225 0.500
Cl2 0.000 0.360 0.000
Cl3 0.000 0.500 0.500

[10]
# Tc2Br4O5, optimized geometry, DFT PBE-GGA
# Uncorrected formation energy   -66.4 kJ per mole of atoms
# Total magnetic moment   0.00 μB per formula unit
# Density of states at the Fermi level   4.79 states/eV/f.u.
# Total DFT energy (no corrections)   -59.78 eV for the cell shown
data_Tc2Br4O5
_chemical_formula_sum 'Tc2 Br4 O5'
_cell_length_a 5.639
_cell_length_b 5.219
_cell_length_c 10.578
_cell_angle_alpha 90.00
_cell_angle_beta 91.80
_cell_angle_gamma 90.00
_symmetry_space_group_name_H-M 'P 1 2/m 1'
_symmetry_Int_Tables_number 10
_symmetry_space_group_name_Hall '-P 2y'
loop_
_atom_site_label
_atom_site_fract_x
_atom_site_fract_y
_atom_site_fract_z
Tc1 0.146 0.000 0.345
Br1 0.070 0.500 0.306
Br2 0.341 0.500 0.928
O1 0.000 0.000 0.500
O2 0.017 0.000 0.795
O3 0.449 0.000 0.348

[11]
# HgTe2Pt, optimized geometry, DFT PBE-GGA
# Uncorrected formation energy   14.9 kJ per mole of atoms
# Total magnetic moment   0.00 μB per formula unit
# Density of states at the Fermi level   3.23 states/eV/f.u.
# Total DFT energy (no corrections)   -12.01 eV for the cell shown
data_HgTe2Pt
_chemical_formula_sum 'Hg1 Te2 Pt1'
_cell_length_a 3.100
_cell_length_b 3.659
_cell_length_c 8.977
_cell_angle_alpha 90.00
_cell_angle_beta 90.00
_cell_angle_gamma 90.00
_symmetry_space_group_name_H-M 'P m m m'
_symmetry_Int_Tables_number 47
_symmetry_space_group_name_Hall '-P 2 2'
loop_
_atom_site_label
_atom_site_fract_x
_atom_site_fract_y
_atom_site_fract_z
Hg1 0.000 0.000 0.000
Te1 0.500 0.500 0.306
Pt1 0.000 0.000 0.500